Pu2Al4ZnGa3 GGA-PBE optimized geometry; E = -5.662 eV/atom; Fermi-level density of states = 21.02 states/eV/cell; calculated formation energy = -263 meV/atom; size of the total moment = 11.559 μB per formula unit
1.0
4.195 0.000 0.000
0.000 4.195 0.000
0.000 0.000 10.940
Pu Al Zn Ga
2 4 1 3
Direct
0.000 0.500 0.250
0.500 0.000 0.750
0.000 0.000 0.000
0.000 0.500 0.635
0.500 0.000 0.365
0.500 0.500 0.000
0.000 0.000 0.500
0.000 0.500 0.859
0.500 0.000 0.141
0.500 0.500 0.500



KAlZn2 GGA-PBE optimized geometry; E = -1.476 eV/atom; Fermi-level density of states = 1.19 states/eV/cell; calculated formation energy = 371 meV/atom; size of the total moment = 0.000 μB per formula unit
1.0
3.363 -4.675 0.000
3.363 4.675 0.000
0.000 0.000 2.904
K Al Zn
1 1 2
Direct
0.000 0.000 0.000
0.500 0.500 0.000
0.000 0.500 0.500
0.500 0.000 0.500



Tb2Cu3Si2 GGA-PBE optimized geometry; E = -5.108 eV/atom; Fermi-level density of states = 3.48 states/eV/cell; formation energy (no corrections) = -46.32 kJ per mole of atoms; size of the total moment = 0.000 μB per formula unit
1.0
5.097 -2.028 0.000
5.097 2.028 0.000
-2.553 0.000 5.854
Tb Cu Si
2 3 2
Direct
0.150 0.150 0.260
0.850 0.850 0.740
0.395 0.395 0.077
0.500 0.500 0.500
0.605 0.605 0.923
0.139 0.139 0.733
0.861 0.861 0.267



ZnSiIr2 GGA-PBE optimized geometry; E = -6.210 eV/atom; Fermi-level density of states = 3.18 states/eV/cell; formation energy (no corrections) = -10.20 kJ per mole of atoms; size of the total moment = 0.000 μB per formula unit
1.0
-1.839 1.839 4.119
1.839 -1.839 4.119
1.839 1.839 -4.119
Zn Si Ir
1 1 2
Direct
0.000 0.000 0.000
0.750 0.250 0.500
0.250 0.750 0.500
0.500 0.500 0.000



PmBeSi GGA-PBE optimized geometry; E = -4.856 eV/atom; Fermi-level density of states = 0.99 states/eV/cell; formation energy (no corrections) = -21.52 kJ per mole of atoms; size of the total moment = 0.000 μB per formula unit
1.0
0.000 3.045 3.045
3.045 0.000 3.045
3.045 3.045 0.000
Pm Be Si
1 1 1
Direct
0.000 0.000 0.000
0.750 0.750 0.750
0.500 0.500 0.500



MnVTe2 GGA-PBE optimized geometry; E = -5.924 eV/atom; Fermi-level density of states = 4.03 states/eV/cell; formation energy (no corrections) = 21.16 kJ per mole of atoms; size of the total moment = 6.275 μB per formula unit
1.0
0.000 3.454 3.454
3.454 0.000 3.454
3.454 3.454 0.000
Mn V Te
1 1 2
Direct
0.000 0.000 0.000
0.500 0.500 0.500
0.250 0.250 0.250
0.750 0.750 0.750



K2Pm2NbO6 GGA-PBE optimized geometry; E = -7.242 eV/atom; Fermi-level density of states = 2.20 states/eV/cell; formation energy (no corrections) = -246.92 kJ per mole of atoms; size of the total moment = 1.019 μB per formula unit
1.0
3.022 -5.181 0.000
3.022 5.181 0.000
-1.756 0.000 6.357
K Pm Nb O
2 2 1 6
Direct
0.156 0.844 0.000
0.844 0.156 0.000
0.336 0.664 0.500
0.664 0.336 0.500
0.000 0.000 0.500
0.044 0.351 0.670
0.249 0.249 0.323
0.351 0.044 0.670
0.649 0.956 0.330
0.751 0.751 0.677
0.956 0.649 0.330



SmEuIn GGA-PBE optimized geometry; E = -6.142 eV/atom; Fermi-level density of states = 2.15 states/eV/cell; calculated formation energy = -231 meV/atom; size of the total moment = 7.085 μB per formula unit
1.0
5.416 0.000 0.000
-2.708 4.690 0.000
0.000 0.000 3.645
Sm Eu In
1 1 1
Direct
0.000 0.000 0.000
0.667 0.333 0.399
0.333 0.667 0.738